KTmMo2O8 SCAN single point on PBEsol structure; electronic total energy = -1.2964 Ry per atom; total moment = 0.0 μB per formula unit; D(E_F) = 0.00 states/eV/cell; energy relative to the elements, uncorrected = -256.4 kJ per mole of atoms
1.0
5.246 -5.072 0.000
5.246 5.072 0.000
-4.990 0.000 5.710
K Tm Mo O
2 2 4 16
Cartesian
1.504 3.065 4.283
3.999 -3.065 1.428
3.999 2.734 1.428
1.504 -2.734 4.283
-0.609 0.027 4.327
1.886 -0.027 1.472
3.616 0.027 4.238
6.111 -0.027 1.383
-2.152 0.808 3.948
1.786 1.608 0.687
0.343 -0.808 1.092
0.443 0.831 3.182
4.837 1.109 0.173
-0.709 -1.608 3.542
2.938 -0.831 0.327
3.160 1.109 2.682
2.342 -1.109 3.029
2.564 0.831 5.383
6.211 1.608 2.168
0.665 -1.109 5.537
5.059 -0.831 2.528
5.159 0.808 4.618
3.716 -1.608 5.024
7.654 -0.808 1.763